(1)
PBE-GGA Tb7CeEr3, optimized geometry; energy of formation from the pure elements = 0.21 eV/atom; DFT total energy = -0.332 Ry/atom; E above lowest polymorph = 48 meV per atom
1.0
-4.0084 -2.6311 7.0899
-4.5991 -3.5871 -3.9314
5.9194 -3.1002 2.1961
Tb Ce Er
7 1 3
direct
0.1170 0.1691 0.8309
0.1170 0.1691 0.3382
0.1172 0.6667 0.3333
0.4513 0.8325 0.1675
0.4513 0.3349 0.1675
0.4513 0.8325 0.6651
0.1170 0.6618 0.8309
0.4483 0.3333 0.6667
0.7816 0.4987 0.5013
0.7816 0.4987 0.9973
0.7816 0.0027 0.5013

=====

(2)
PBE-GGA Tb6CeEr3, optimized geometry; energy of formation from the pure elements = 0.16 eV/atom; DFT total energy = -0.336 Ry/atom; E above lowest polymorph = 125 meV per atom
1.0
-2.2518 1.4656 -5.4830
1.2974 -10.3050 -3.2874
-9.3951 2.9640 4.6507
Tb Ce Er
12 2 6
direct
0.0324 0.7087 0.6191
0.5324 0.6191 0.7087
0.3794 0.5429 0.9631
0.8794 0.9631 0.5429
0.4265 0.9515 0.0485
0.6283 0.2778 0.7222
0.1283 0.7222 0.2778
0.9265 0.0485 0.9515
0.3794 0.0369 0.4571
0.8794 0.4571 0.0369
0.0324 0.3809 0.2913
0.5324 0.2913 0.3809
0.1279 0.2055 0.7945
0.6279 0.7945 0.2055
0.4560 0.9409 0.7189
0.9560 0.7189 0.9409
0.0669 0.3863 0.6137
0.5669 0.6137 0.3863
0.9560 0.0591 0.2811
0.4560 0.2811 0.0591

=====

(3)
PBE-GGA Tb8CeEr3, optimized geometry; energy of formation from the pure elements = 0.62 eV/atom; DFT total energy = -0.302 Ry/atom
1.0
7.4948 -0.4931 -3.5677
-4.3845 6.9695 -1.1594
-0.3102 0.4931 8.2948
Tb Ce Er
8 1 3
direct
0.4677 0.2062 0.2062
0.5323 0.7385 0.7385
0.0000 0.7938 0.2615
0.0000 0.2615 0.7938
0.2492 0.3621 0.3621
0.7508 0.1130 0.1130
0.0000 0.6379 0.8870
0.0000 0.8870 0.6379
0.0000 0.0000 0.0000
0.5000 0.7500 0.2500
0.5000 0.2500 0.7500
0.0000 0.5000 0.5000

=====

(4)
PBE-GGA Tb6CeEr8, optimized geometry; energy of formation from the pure elements = 0.13 eV/atom; DFT total energy = -0.335 Ry/atom
1.0
-2.6568 -5.0924 6.8782
-3.0559 -8.2924 -1.4825
4.4281 -6.9085 2.4329
Tb Ce Er
6 1 8
direct
0.4603 0.8923 0.8737
0.1077 0.2264 0.1263
0.2264 0.5397 0.1263
0.7736 0.4603 0.8737
0.8923 0.7736 0.8737
0.5397 0.1077 0.1263
0.0000 0.0000 0.0000
0.2505 0.2817 0.5796
0.7183 0.1117 0.4204
0.1117 0.7495 0.4204
0.5770 0.5770 0.2690
0.4230 0.4230 0.7310
0.8883 0.2505 0.5796
0.2817 0.8883 0.5796
0.7495 0.7183 0.4204

=====

(5)
PBE-GGA Tb6CeEr3, optimized geometry; energy of formation from the pure elements = 0.04 eV/atom; DFT total energy = -0.346 Ry/atom; E above lowest polymorph = 0 meV per atom
1.0
-5.3950 2.9126 -0.2333
-2.7944 -5.6707 -6.9081
-0.0301 -8.6781 -0.1131
Tb Ce Er
6 1 3
direct
0.8974 0.3007 0.0960
0.1978 0.4018 0.7968
0.1026 0.6993 0.9040
0.8022 0.5982 0.2032
0.3012 0.1020 0.6971
0.6988 0.8980 0.3029
0.5000 0.5000 0.5000
0.4005 0.7991 0.5984
0.5995 0.2009 0.4016
0.0000 0.0000 0.0000

=====

(6)
PBE-GGA TbCeEr2, optimized geometry; energy of formation from the pure elements = 0.16 eV/atom; DFT total energy = -0.350 Ry/atom; E above lowest polymorph = 117 meV per atom
1.0
-3.2520 -1.7287 -4.2528
-1.7562 -5.3407 -0.2073
-5.4157 -1.2178 0.9151
Tb Ce Er
1 1 2
direct
0.0000 0.0000 0.0000
0.5000 0.5000 0.5000
0.2500 0.2500 0.2500
0.7500 0.7500 0.7500

=====

(7)
PBE-GGA TbCeEr2, optimized geometry; energy of formation from the pure elements = 0.05 eV/atom; DFT total energy = -0.358 Ry/atom; E above lowest polymorph = 13 meV per atom
1.0
-2.6686 -1.8164 1.3874
3.2416 -1.3555 0.0121
2.6985 6.5296 9.2827
Tb Ce Er
1 1 2
direct
0.9987 0.0000 0.9987
0.6685 0.8332 0.5018
0.8332 0.4161 0.2493
0.1663 0.5838 0.7501

=====

(8)
PBE-GGA Tb3CeEr2, optimized geometry; energy of formation from the pure elements = 0.05 eV/atom; DFT total energy = -0.351 Ry/atom; E above lowest polymorph = 0 meV per atom
1.0
11.4607 0.0000 0.0000
0.0000 6.1496 -0.2846
0.0000 -2.8279 5.4683
Tb Ce Er
6 2 4
direct
0.4696 0.1650 0.8350
0.9696 0.1650 0.8350
0.4697 0.5000 0.5000
0.9697 0.5000 0.5000
0.9696 0.8350 0.1650
0.4696 0.8350 0.1650
0.7195 0.8325 0.8325
0.2195 0.1675 0.1675
0.7197 0.1664 0.4996
0.2197 0.5004 0.8336
0.2197 0.8336 0.5004
0.7197 0.4996 0.1664

=====

(9)
PBE-GGA Tb4CeEr2, optimized geometry; energy of formation from the pure elements = 0.54 eV/atom; DFT total energy = -0.313 Ry/atom
1.0
5.9125 0.0000 0.0000
0.0000 6.1351 0.0000
0.0000 -3.0676 6.4075
Tb Ce Er
4 1 2
direct
0.5000 0.6367 0.2733
0.0000 0.7987 0.5974
0.5000 0.3633 0.7267
0.0000 0.2013 0.4026
0.0000 0.5000 0.0000
0.5000 0.1128 0.2256
0.5000 0.8872 0.7744

=====

(10)
PBE-GGA Tb6CeEr, optimized geometry; energy of formation from the pure elements = 0.05 eV/atom; DFT total energy = -0.348 Ry/atom; E above lowest polymorph = 0 meV per atom
1.0
5.0211 0.0000 0.0000
0.0000 5.0211 0.0000
0.0000 0.0000 10.0325
Tb Ce Er
6 1 1
direct
0.5000 0.5000 0.0000
0.5000 0.5000 0.5000
0.5000 0.0000 0.2507
0.5000 0.0000 0.7493
0.0000 0.5000 0.2507
0.0000 0.5000 0.7493
0.0000 0.0000 0.5000
0.0000 0.0000 0.0000

=====

(11)
PBE-GGA Tb8Ce2Er3, optimized geometry; energy of formation from the pure elements = 0.27 eV/atom; DFT total energy = -0.334 Ry/atom
1.0
-4.3787 -4.7729 -1.9959
1.8993 -4.7569 -7.9363
2.8670 -8.9996 0.0866
Tb Ce Er
8 2 3
direct
0.0602 0.5830 0.5830
0.9398 0.4170 0.4170
0.0053 0.1892 0.1892
0.9947 0.8108 0.8108
0.5611 0.5648 0.1958
0.5611 0.1958 0.5648
0.4389 0.8042 0.4352
0.4389 0.4352 0.8042
0.4782 0.2166 0.2166
0.5218 0.7834 0.7834
0.5000 0.0000 0.0000
0.0000 0.1722 0.8278
0.0000 0.8278 0.1722

=====

(12)
PBE-GGA Tb2CeEr, optimized geometry; energy of formation from the pure elements = 0.17 eV/atom; DFT total energy = -0.350 Ry/atom; E above lowest polymorph = 117 meV per atom
1.0
-0.5034 2.0121 2.7020
-3.0203 1.5051 0.4635
-5.0051 -8.5164 7.5566
Tb Ce Er
2 1 1
direct
0.0889 0.0889 0.7334
0.9111 0.9111 0.2666
0.0000 0.0000 0.0000
0.5000 0.5000 0.5000

=====

(13)
PBE-GGA Tb5CeEr3, optimized geometry; energy of formation from the pure elements = 0.59 eV/atom; DFT total energy = -0.306 Ry/atom
1.0
7.9205 -1.0808 0.8049
1.1288 7.9138 0.8049
3.3615 2.5382 10.7708
Tb Ce Er
10 2 6
direct
0.8889 0.3868 0.2452
0.2779 0.7221 0.0000
0.6777 0.6777 0.0624
0.4847 0.4847 0.3834
0.5153 0.5153 0.6166
0.3223 0.3223 0.9376
0.3868 0.8889 0.2452
0.7221 0.2779 0.0000
0.1111 0.6132 0.7548
0.6132 0.1111 0.7548
0.9131 0.9131 0.8026
0.0869 0.0869 0.1974
0.6676 0.6676 0.7720
0.7931 0.7931 0.3327
0.0000 0.0000 0.0000
0.0000 0.0000 0.5000
0.3324 0.3324 0.2280
0.2069 0.2069 0.6673

=====

(14)
PBE-GGA Tb6CeEr12, optimized geometry; energy of formation from the pure elements = 0.22 eV/atom; DFT total energy = -0.326 Ry/atom
1.0
-8.1368 -0.4362 -2.8265
1.3231 -8.3564 1.6753
-1.4802 2.7932 8.0246
Tb Ce Er
6 1 12
direct
0.8974 0.3398 0.8974
0.8974 0.8974 0.3398
0.3398 0.8974 0.8974
0.1026 0.1026 0.6602
0.1026 0.6602 0.1026
0.6602 0.1026 0.1026
0.0000 0.0000 0.0000
0.7570 0.2430 0.5000
0.3516 0.0793 0.3516
0.3516 0.3516 0.0793
0.9207 0.6484 0.6484
0.6484 0.6484 0.9207
0.6484 0.9207 0.6484
0.5000 0.7570 0.2430
0.2430 0.5000 0.7570
0.2430 0.7570 0.5000
0.5000 0.2430 0.7570
0.7570 0.5000 0.2430
0.0793 0.3516 0.3516

=====

(15)
PBE-GGA Tb7CeEr12, optimized geometry; energy of formation from the pure elements = 0.73 eV/atom; DFT total energy = -0.289 Ry/atom; E above lowest polymorph = 478 meV per atom
1.0
-3.4774 0.5854 -9.0418
5.6356 -7.8610 0.7960
-7.3801 -0.6622 6.2678
Tb Ce Er
7 1 12
direct
0.5000 0.5000 0.0000
0.0000 0.5000 0.5000
0.5000 0.0000 0.5000
0.5000 0.5000 0.5000
0.0000 0.0000 0.5000
0.5000 0.0000 0.0000
0.0000 0.5000 0.0000
0.0000 0.0000 0.0000
0.4892 0.7446 0.7446
0.0000 0.7446 0.2554
0.5108 0.2554 0.2554
0.0000 0.2554 0.7446
0.7446 0.0000 0.2554
0.7446 0.4892 0.7446
0.2554 0.0000 0.7446
0.2554 0.5108 0.2554
0.7446 0.7446 0.4892
0.2554 0.2554 0.5108
0.7446 0.2554 0.0000
0.2554 0.7446 0.0000

=====

(16)
PBE-GGA Tb12CeEr6, optimized geometry; energy of formation from the pure elements = 0.21 eV/atom; DFT total energy = -0.328 Ry/atom
1.0
-2.2606 8.3505 0.7017
-3.6809 -3.0863 7.2291
8.2322 0.5193 2.7011
Tb Ce Er
12 1 6
direct
0.7569 0.2431 0.5000
0.3505 0.0780 0.3505
0.3505 0.3505 0.0780
0.9220 0.6495 0.6495
0.6495 0.6495 0.9220
0.6495 0.9220 0.6495
0.5000 0.7569 0.2431
0.2431 0.5000 0.7569
0.2431 0.7569 0.5000
0.5000 0.2431 0.7569
0.7569 0.5000 0.2431
0.0780 0.3505 0.3505
0.0000 0.0000 0.0000
0.8967 0.3358 0.8967
0.8967 0.8967 0.3358
0.3358 0.8967 0.8967
0.1033 0.1033 0.6642
0.1033 0.6642 0.1033
0.6642 0.1033 0.1033

=====

(17)
PBE-GGA Tb12CeEr7, optimized geometry; energy of formation from the pure elements = 0.73 eV/atom; DFT total energy = -0.290 Ry/atom; E above lowest polymorph = 553 meV per atom
1.0
0.8760 -9.6805 -1.3481
8.1344 3.4583 4.2626
-7.7353 1.8138 5.7595
Tb Ce Er
12 1 7
direct
0.4845 0.7424 0.7422
0.0002 0.7424 0.2578
0.5155 0.2576 0.2578
0.9998 0.2576 0.7422
0.7422 0.9998 0.2576
0.7422 0.4845 0.7424
0.2578 0.0002 0.7424
0.2578 0.5155 0.2576
0.7424 0.7422 0.4845
0.2576 0.2578 0.5155
0.7424 0.2578 0.0002
0.2576 0.7422 0.9998
0.0000 0.0000 0.0000
0.5000 0.5000 0.0000
0.0000 0.5000 0.5000
0.5000 0.0000 0.5000
0.5000 0.5000 0.5000
0.0000 0.0000 0.5000
0.5000 0.0000 0.0000
0.0000 0.5000 0.0000

=====

(18)
PBE-GGA Tb5CeEr6, optimized geometry; energy of formation from the pure elements = 0.04 eV/atom; DFT total energy = -0.343 Ry/atom
1.0
-1.3855 -4.7412 -0.7796
9.0011 -3.1096 2.9130
-6.2528 3.4785 6.0118
Tb Ce Er
5 1 6
direct
0.6666 0.1665 0.3331
0.3331 0.3331 0.6663
0.0000 0.5000 0.0000
0.6669 0.6669 0.3337
0.3334 0.8335 0.6669
0.0000 0.0000 0.0000
0.8344 0.5852 0.6688
0.8344 0.0837 0.6688
0.5000 0.7519 0.0000
0.5000 0.2481 0.0000
0.1656 0.9163 0.3312
0.1656 0.4148 0.3312

=====

(19)
PBE-GGA Tb2CeEr4, optimized geometry; energy of formation from the pure elements = 0.21 eV/atom; DFT total energy = -0.336 Ry/atom
1.0
-0.9202 -3.0263 -4.6019
2.9688 -1.9232 0.6711
-7.5604 -6.3223 5.6695
Tb Ce Er
2 1 4
direct
0.5000 0.0694 0.1389
0.5000 0.9306 0.8611
0.0000 0.5000 0.0000
0.5000 0.6921 0.3843
0.0000 0.8287 0.6575
0.5000 0.3079 0.6157
0.0000 0.1713 0.3425

=====

(20)
PBE-GGA Tb2CeEr3, optimized geometry; energy of formation from the pure elements = 0.15 eV/atom; DFT total energy = -0.343 Ry/atom; E above lowest polymorph = 23 meV per atom
1.0
-0.0643 -1.3644 3.1377
5.0963 -7.3895 -1.2428
11.3522 4.0566 3.8628
Tb Ce Er
4 2 6
direct
0.8218 0.4758 0.8805
0.1782 0.5242 0.1195
0.6566 0.1508 0.5359
0.3434 0.8492 0.4641
0.5489 0.5145 0.3876
0.4511 0.4855 0.6124
0.0406 0.1281 0.7906
0.9594 0.8719 0.2094
0.5998 0.8285 0.9720
0.4002 0.1715 0.0280
0.7405 0.8113 0.7076
0.2595 0.1887 0.2924